[1]
# RbSrMgBr5 | the Alexandria database | PBE | relaxed
# * space-group type: No. 15
# * density of states at the Fermi level: 0.0 states/eV per cell
# * formation energy from raw total energies: -1.78 eV per atom
# * total magnetic moment: 0.15 μB per formula unit
data_RbSrMgBr5
_symmetry_space_group_name_H-M 'P 1'
_symmetry_Int_Tables_number 1
_cell_length_a 8.252
_cell_length_b 8.252
_cell_length_c 10.908
_cell_angle_alpha 104.00
_cell_angle_beta 104.00
_cell_angle_gamma 106.28
loop_
_symmetry_equiv_pos_as_xyz
'x,y,z'
loop_
_atom_site_label
_atom_site_fract_x
_atom_site_fract_y
_atom_site_fract_z
Rb1 0.151 0.849 0.750
Rb2 0.849 0.151 0.250
Sr1 0.500 0.500 0.000
Sr2 0.500 0.500 0.500
Mg1 0.186 0.814 0.250
Mg2 0.814 0.186 0.750
Br1 0.107 0.244 0.928
Br2 0.170 0.588 0.371
Br3 0.244 0.107 0.428
Br4 0.407 0.593 0.750
Br5 0.412 0.830 0.129
Br6 0.588 0.170 0.871
Br7 0.593 0.407 0.250
Br8 0.756 0.893 0.572
Br9 0.830 0.412 0.629
Br10 0.893 0.756 0.072



[2]
# TbHoTeC | the Alexandria database | PBE | relaxed
# * space-group type: No. 160
# * density of states at the Fermi level: 0.9 states/eV per cell
# * formation energy from raw total energies: -0.83 eV per atom
# * total magnetic moment: 0.00 μB per formula unit
data_TbHoTeC
_symmetry_space_group_name_H-M 'P 1'
_symmetry_Int_Tables_number 1
_cell_length_a 7.439
_cell_length_b 7.439
_cell_length_c 7.439
_cell_angle_alpha 29.69
_cell_angle_beta 29.69
_cell_angle_gamma 29.69
loop_
_symmetry_equiv_pos_as_xyz
'x,y,z'
loop_
_atom_site_label
_atom_site_fract_x
_atom_site_fract_y
_atom_site_fract_z
Tb1 0.000 0.000 0.000
Ho1 0.791 0.791 0.791
Te1 0.227 0.227 0.227
C1 0.397 0.397 0.397



[3]
# Ti2Tc6Mo2W | the Alexandria database | PBE | relaxed
# * space-group type: No. 166
# * density of states at the Fermi level: 14.2 states/eV per cell
# * DFT formation energy: 586.5 kJ/mol of formula units
# * total magnetic moment: 0.00 μB per formula unit
data_Ti2Tc6Mo2W
_symmetry_space_group_name_H-M 'P 1'
_symmetry_Int_Tables_number 1
_cell_length_a 9.277
_cell_length_b 9.277
_cell_length_c 9.277
_cell_angle_alpha 32.34
_cell_angle_beta 32.34
_cell_angle_gamma 32.34
loop_
_symmetry_equiv_pos_as_xyz
'x,y,z'
loop_
_atom_site_label
_atom_site_fract_x
_atom_site_fract_y
_atom_site_fract_z
Ti1 0.167 0.167 0.167
Ti2 0.833 0.833 0.833
Tc1 0.093 0.093 0.580
Tc2 0.093 0.580 0.093
Tc3 0.420 0.907 0.907
Tc4 0.580 0.093 0.093
Tc5 0.907 0.420 0.907
Tc6 0.907 0.907 0.420
Mo1 0.453 0.453 0.453
Mo2 0.547 0.547 0.547
W1 0.000 0.000 0.000



[4]
# Nd4Tm8Th | the Alexandria database | PBE | relaxed
# * space-group type: No. 166
# * density of states at the Fermi level: 24.4 states/eV per cell
# * DFT formation energy: 656.7 kJ/mol of formula units
# * total magnetic moment: 1.19 μB per formula unit
data_Nd4Tm8Th
_symmetry_space_group_name_H-M 'P 1'
_symmetry_Int_Tables_number 1
_cell_length_a 7.759
_cell_length_b 7.759
_cell_length_c 7.759
_cell_angle_alpha 90.11
_cell_angle_beta 90.11
_cell_angle_gamma 90.11
loop_
_symmetry_equiv_pos_as_xyz
'x,y,z'
loop_
_atom_site_label
_atom_site_fract_x
_atom_site_fract_y
_atom_site_fract_z
Nd1 0.000 0.000 0.000
Nd2 0.000 0.500 0.500
Nd3 0.500 0.000 0.500
Nd4 0.500 0.500 0.000
Tm1 0.241 0.241 0.241
Tm2 0.241 0.241 0.758
Tm3 0.241 0.758 0.241
Tm4 0.242 0.759 0.759
Tm5 0.758 0.241 0.241
Tm6 0.759 0.242 0.759
Tm7 0.759 0.759 0.242
Tm8 0.759 0.759 0.759
Th1 0.500 0.500 0.500



[5]
# RbIn2Hg | the Alexandria database | PBE | relaxed
# * space-group type: No. 122
# * density of states at the Fermi level: 3.6 states/eV per cell
# * DFT formation energy: 6.0 kJ/mol of formula units
# * total magnetic moment: 0.00 μB per formula unit
data_RbIn2Hg
_symmetry_space_group_name_H-M 'P 1'
_symmetry_Int_Tables_number 1
_cell_length_a 11.521
_cell_length_b 11.521
_cell_length_c 11.521
_cell_angle_alpha 152.33
_cell_angle_beta 152.33
_cell_angle_gamma 39.54
loop_
_symmetry_equiv_pos_as_xyz
'x,y,z'
loop_
_atom_site_label
_atom_site_fract_x
_atom_site_fract_y
_atom_site_fract_z
Rb1 0.000 0.000 0.000
Rb2 0.750 0.250 0.500
In1 0.291 0.625 0.166
In2 0.375 0.541 0.666
In3 0.459 0.125 0.834
In4 0.875 0.709 0.334
Hg1 0.250 0.750 0.500
Hg2 0.500 0.500 0.000



[6]
# Dy2TmSc3 | the Alexandria database | PBE | relaxed
# * space-group type: No. 12
# * density of states at the Fermi level: 21.5 states/eV per cell
# * DFT formation energy: 45.5 kJ/mol of formula units
# * total magnetic moment: 0.00 μB per formula unit
# * energy relative to the lowest polymorph listed for this composition: 27 meV/atom
data_Dy2TmSc3
_symmetry_space_group_name_H-M 'P 1'
_symmetry_Int_Tables_number 1
_cell_length_a 8.349
_cell_length_b 8.349
_cell_length_c 9.675
_cell_angle_alpha 121.15
_cell_angle_beta 121.15
_cell_angle_gamma 36.84
loop_
_symmetry_equiv_pos_as_xyz
'x,y,z'
loop_
_atom_site_label
_atom_site_fract_x
_atom_site_fract_y
_atom_site_fract_z
Dy1 0.032 0.032 0.346
Dy2 0.301 0.301 0.654
Dy3 0.699 0.699 0.346
Dy4 0.968 0.968 0.654
Tm1 0.366 0.366 0.347
Tm2 0.634 0.634 0.653
Sc1 0.117 0.117 0.098
Sc2 0.218 0.218 0.902
Sc3 0.450 0.450 0.100
Sc4 0.550 0.550 0.900
Sc5 0.782 0.782 0.098
Sc6 0.883 0.883 0.902



[7]
# ScInCl2 | the Alexandria database | PBE | relaxed
# * space-group type: No. 65
# * density of states at the Fermi level: 2.6 states/eV per cell
# * formation energy from raw total energies: -1.09 eV per atom
# * total magnetic moment: 0.00 μB per formula unit
# * energy relative to the lowest polymorph listed for this composition: 183 meV/atom
data_ScInCl2
_symmetry_space_group_name_H-M 'P 1'
_symmetry_Int_Tables_number 1
_cell_length_a 3.577
_cell_length_b 3.577
_cell_length_c 9.991
_cell_angle_alpha 90.00
_cell_angle_beta 90.00
_cell_angle_gamma 123.04
loop_
_symmetry_equiv_pos_as_xyz
'x,y,z'
loop_
_atom_site_label
_atom_site_fract_x
_atom_site_fract_y
_atom_site_fract_z
Sc1 0.000 0.000 0.000
In1 0.000 0.000 0.500
Cl1 0.500 0.500 0.188
Cl2 0.500 0.500 0.812



[8]
# NdMg2Pt2 | the Alexandria database | PBE | relaxed
# * space-group type: No. 11
# * density of states at the Fermi level: 4.1 states/eV per cell
# * DFT formation energy: -403.3 kJ/mol of formula units
# * total magnetic moment: 0.00 μB per formula unit
# * energy relative to the lowest polymorph listed for this composition: 50 meV/atom
data_NdMg2Pt2
_symmetry_space_group_name_H-M 'P 1'
_symmetry_Int_Tables_number 1
_cell_length_a 5.143
_cell_length_b 4.776
_cell_length_c 8.724
_cell_angle_alpha 90.00
_cell_angle_beta 100.06
_cell_angle_gamma 90.00
loop_
_symmetry_equiv_pos_as_xyz
'x,y,z'
loop_
_atom_site_label
_atom_site_fract_x
_atom_site_fract_y
_atom_site_fract_z
Nd1 0.167 0.250 0.284
Nd2 0.833 0.750 0.716
Mg1 0.283 0.250 0.658
Mg2 0.354 0.750 0.988
Mg3 0.646 0.250 0.012
Mg4 0.717 0.750 0.342
Pt1 0.118 0.250 0.928
Pt2 0.295 0.750 0.503
Pt3 0.705 0.250 0.497
Pt4 0.882 0.750 0.072



> Which of these has the lowest density of states at the Fermi level?

RbSrMgBr5